# Cu2Tc, optimized geometry, DFT PBE
# calculated formation energy	1.05	eV/f.u.
# magnetic moment	0.630	μB/f.u.
# total DFT energy (no corrections)	-5.836	eV/atom
data_Cu2Tc
_cell_length_a 2.5414
_cell_length_b 13.9535
_cell_length_c 4.4179
_cell_angle_alpha 90.00
_cell_angle_beta 90.00
_cell_angle_gamma 90.00
_space_group_name_H-M_alt 'C m c m'
_space_group_IT_number 63
_space_group_name_Hall '-C 2c 2'
loop_
_atom_site_label
_atom_site_type_symbol
_atom_site_fract_x
_atom_site_fract_y
_atom_site_fract_z
Cu1 Cu 0.0000 0.0574 0.2500
Cu2 Cu 0.0000 0.2787 0.7500
Tc1 Tc 0.0000 0.3903 0.2500



# Cu2Tc, optimized geometry, DFT PBE
# calculated formation energy	1.78	eV/f.u.
# magnetic moment	0.001	μB/f.u.
# total DFT energy (no corrections)	-5.594	eV/atom
data_Cu2Tc
_cell_length_a 6.0785
_cell_length_b 6.0785
_cell_length_c 4.7093
_cell_angle_alpha 90.00
_cell_angle_beta 90.00
_cell_angle_gamma 90.00
_space_group_name_H-M_alt 'I 4/m c m'
_space_group_IT_number 140
_space_group_name_Hall '-I 4 2c'
loop_
_atom_site_label
_atom_site_type_symbol
_atom_site_fract_x
_atom_site_fract_y
_atom_site_fract_z
Cu1 Cu 0.1445 0.3555 0.0000
Tc1 Tc 0.0000 0.0000 0.2500



# Cu2Tc, optimized geometry, DFT PBE
# calculated formation energy	1.48	eV/f.u.
# magnetic moment	0.922	μB/f.u.
# total DFT energy (no corrections)	-5.692	eV/atom
data_Cu2Tc
_cell_length_a 2.4855
_cell_length_b 4.1478
_cell_length_c 16.2857
_cell_angle_alpha 90.00
_cell_angle_beta 90.00
_cell_angle_gamma 90.00
_space_group_name_H-M_alt 'I m m a'
_space_group_IT_number 74
_space_group_name_Hall '-I 2b 2'
loop_
_atom_site_label
_atom_site_type_symbol
_atom_site_fract_x
_atom_site_fract_y
_atom_site_fract_z
Cu1 Cu 0.0000 0.2500 0.0355
Cu2 Cu 0.0000 0.2500 0.1855
Tc1 Tc 0.0000 0.2500 0.6169



# Cu2Tc, optimized geometry, DFT PBE
# calculated formation energy	0.84	eV/f.u.
# magnetic moment	0.001	μB/f.u.
# total DFT energy (no corrections)	-5.904	eV/atom
data_Cu2Tc
_cell_length_a 4.2659
_cell_length_b 4.2659
_cell_length_c 2.4543
_cell_angle_alpha 90.00
_cell_angle_beta 90.00
_cell_angle_gamma 120.00
_space_group_name_H-M_alt 'P 6/m m m'
_space_group_IT_number 191
_space_group_name_Hall '-P 6 2'
loop_
_atom_site_label
_atom_site_type_symbol
_atom_site_fract_x
_atom_site_fract_y
_atom_site_fract_z
Cu1 Cu 0.3333 0.6667 0.0000
Tc1 Tc 0.0000 0.0000 0.5000



Repeat the second record exactly.
# Cu2Tc, optimized geometry, DFT PBE
# calculated formation energy	1.78	eV/f.u.
# magnetic moment	0.001	μB/f.u.
# total DFT energy (no corrections)	-5.594	eV/atom
data_Cu2Tc
_cell_length_a 6.0785
_cell_length_b 6.0785
_cell_length_c 4.7093
_cell_angle_alpha 90.00
_cell_angle_beta 90.00
_cell_angle_gamma 90.00
_space_group_name_H-M_alt 'I 4/m c m'
_space_group_IT_number 140
_space_group_name_Hall '-I 4 2c'
loop_
_atom_site_label
_atom_site_type_symbol
_atom_site_fract_x
_atom_site_fract_y
_atom_site_fract_z
Cu1 Cu 0.1445 0.3555 0.0000
Tc1 Tc 0.0000 0.0000 0.2500



Which formula does entry 1 have?
Cu2Tc



The highest total DFT energy (no corrections) belongs to which entry?
number 2



Which formula does entry 4 have?
Cu2Tc